Entry from the Alexandria database: crystalline Li2CoC2O6 at its relaxed geometry (PBE with a Hubbard U).

Output
The energy above the most stable polymorph in this dataset comes out at 0 meV/atom. As for the space group: P2_1/c (14).

```
22
Lattice="-3.236 3.871 1.405 -4.097 -4.980 -4.399 -1.909 -3.806 6.087" Properties=species:S:1:pos:R:3 pbc="T T T"
Li -4.873 -1.498 -1.115
Li -7.649 -3.201 1.482
Li -1.593 -1.713 1.611
Li -4.369 -3.416 4.208
Co -2.048 -2.490 -2.199
Co -2.573 0.033 3.746
C -5.553 -5.298 2.170
C -4.298 -4.399 -1.407
C -4.944 -0.515 4.501
C -3.689 0.384 0.924
O -5.568 -4.968 3.440
O -4.734 -5.626 -1.242
O -4.508 0.712 4.336
O -3.674 0.054 -0.347
O -6.350 -0.341 -0.465
O -6.337 -4.686 1.355
O -2.905 -0.228 1.738
O -2.892 -4.573 3.558
O -4.728 -6.231 1.822
O -5.114 -3.447 -1.090
O -4.128 -1.467 4.184
O -4.514 1.317 1.271
```

Entry from the Alexandria database: crystalline Li2CoC2O6 at its relaxed geometry (PBE with a Hubbard U).

Output
The energy above the most stable polymorph in this dataset comes out at 2 meV/atom. As for the space group: Fdd2 (43).

```
22
Lattice="5.368 0.000 0.000 2.684 5.720 -0.001 -2.684 0.000 8.196" Properties=species:S:1:pos:R:3 pbc="T T T"
Li 3.173 2.586 6.800
Li 1.830 5.447 5.493
Li 1.831 0.274 2.702
Li 3.172 3.135 1.396
Co 0.642 2.860 4.098
Co 4.668 0.000 0.000
C 0.294 3.484 6.571
C 1.636 0.624 5.723
C 1.636 5.097 2.473
C 5.663 2.237 1.624
O -0.041 3.803 7.783
O 2.866 0.629 6.138
O 4.746 3.155 5.709
O 0.719 0.295 6.583
O 1.524 3.489 6.155
O 1.301 0.942 4.510
O 4.746 2.567 2.484
O 1.301 4.779 3.685
O 6.088 5.426 1.611
O 2.866 5.091 2.058
O 1.525 2.231 2.041
O 5.329 1.918 0.412
```

Entry from the Alexandria database: crystalline Li2CoC2O6 at its relaxed geometry (PBE with a Hubbard U).

Output
The energy above the most stable polymorph in this dataset comes out at 42 meV/atom. As for the space group: P1 (1).

```
22
Lattice="-0.538 0.840 -4.975 5.417 -1.621 -2.778 -2.481 -7.300 -1.394" Properties=species:S:1:pos:R:3 pbc="T T T"
Li -0.041 -6.109 -7.345
Li 3.466 -5.895 -6.105
Li 2.793 -3.997 -3.115
Li 1.281 -1.134 -2.733
Co 1.068 -3.905 -5.252
Co 5.126 -1.695 -3.007
C 1.135 -6.349 -4.598
C -1.781 -4.715 -5.713
C 3.891 -2.892 -5.741
C 1.079 -1.466 -5.576
O 0.907 -7.586 -4.291
O 2.894 -7.122 -7.780
O 1.117 -5.915 -5.827
O -1.343 -5.636 -2.036
O 1.356 -5.461 -3.667
O -0.987 -3.891 -5.107
O 3.169 -3.907 -5.290
O 3.744 -2.513 -6.972
O 1.543 -3.053 -1.657
O 1.188 -2.042 -4.422
O 4.749 -2.324 -4.970
O 1.031 -0.173 -5.675
```

Entry from the Alexandria database: crystalline LiCoPCO7 at its relaxed geometry (PBE with a Hubbard U).

Output
The total energy comes out at -146.53 eV for the cell shown. As for the space group: P2_1 (4).

```
22
Lattice="6.070 0.000 0.000 0.000 5.025 -0.001 0.000 0.628 8.643" Properties=species:S:1:pos:R:3 pbc="T T T"
Li 6.013 1.236 1.887
Li 2.978 4.417 6.756
Co 4.557 4.187 2.902
Co 1.522 1.467 5.740
P 1.552 3.893 3.718
P 4.588 1.760 4.925
C 4.535 3.692 0.603
C 1.500 1.961 8.039
O 3.406 1.335 5.850
O 4.572 4.908 1.116
O 1.618 2.844 7.047
O 4.653 2.810 1.596
O 2.734 4.179 2.741
O 4.650 0.959 3.612
O 5.769 1.475 5.901
O 1.615 4.694 5.030
O 0.371 4.319 2.793
O 1.465 2.379 4.044
O 4.373 4.027 8.063
O 1.338 1.626 0.579
O 4.500 3.274 4.598
O 1.537 0.746 7.526
```

Entry from the Alexandria database: crystalline Li3CoPCO7 at its relaxed geometry (PBE with a Hubbard U).

Output
The energy above the most stable polymorph in this dataset comes out at 9 meV/atom. As for the space group: P2_1/m (11).

```
26
Lattice="5.009 0.000 0.019 0.000 6.418 0.000 -0.893 0.000 8.426" Properties=species:S:1:pos:R:3 pbc="T T T"
Li 0.932 4.813 0.889
Li 3.185 1.604 7.556
Li 0.705 0.090 6.134
Li 3.411 6.328 2.311
Li 3.411 3.299 2.311
Li 0.705 3.119 6.134
Co 0.736 1.604 2.816
Co 3.380 4.813 5.629
P 0.984 4.813 3.483
P 3.133 1.604 4.962
C 1.579 1.604 0.348
C 2.537 4.813 8.097
O 1.742 4.813 7.054
O 2.374 1.604 1.391
O 0.305 1.604 0.566
O 3.811 4.813 7.879
O 3.797 1.604 3.575
O 0.319 4.813 4.870
O 2.534 4.813 3.665
O 1.582 1.604 4.780
O 1.179 1.604 7.574
O 2.938 4.813 0.871
O 3.576 2.811 5.847
O 3.576 0.398 5.847
O 0.541 3.607 2.598
O 0.541 6.020 2.598
```

Entry from the Alexandria database: crystalline Li3CoPCO7 at its relaxed geometry (PBE with a Hubbard U).

Output
The energy above the most stable polymorph in this dataset comes out at 0 meV/atom. As for the space group: P2_1 (4).

```
26
Lattice="-1.684 3.935 -2.530 0.548 -3.112 -5.206 -7.734 -4.977 2.162" Properties=species:S:1:pos:R:3 pbc="T T T"
Li -8.149 -2.984 -3.480
Li -0.865 -0.351 -0.725
Li -5.734 -3.909 -1.817
Li -2.865 -1.791 -6.344
Li -5.892 -0.476 -2.203
Li -2.965 -3.754 -3.498
Co -5.653 -5.466 -4.357
Co -2.958 -0.161 -3.683
P -5.466 -2.393 -4.525
P -3.398 -1.794 -1.104
C -8.444 -3.472 -0.765
C -0.400 -0.831 -5.059
O -8.841 -2.627 -1.631
O 0.046 -1.955 -4.660
O -7.307 -4.845 -3.250
O -1.558 0.661 -2.375
O -7.188 -3.563 -0.415
O -1.682 -0.598 -5.171
O -6.181 -2.884 -5.814
O -2.452 -2.620 -2.018
O -6.513 -1.684 -3.627
O -2.572 -1.251 0.091
O -4.605 -2.658 -0.644
O -4.270 -1.468 -4.882
O -4.898 -3.651 -3.768
O -3.958 -0.584 -1.941
```

Entry from the Alexandria database: crystalline Li3CoPCO7 at its relaxed geometry (PBE with a Hubbard U).

Output
The energy above the most stable polymorph in this dataset comes out at 2 meV/atom. As for the space group: P2_1 (4).

```
26
Lattice="4.983 0.000 0.351 0.000 6.686 0.000 -0.153 0.000 8.696" Properties=species:S:1:pos:R:3 pbc="T T T"
Li 1.687 3.780 1.003
Li 3.144 0.437 8.044
Li 4.113 3.831 2.914
Li 0.717 0.488 6.133
Li 1.461 2.047 3.240
Li 3.369 5.390 5.807
Co 4.133 0.345 2.793
Co 0.697 3.688 6.254
P 1.585 5.406 3.753
P 3.246 2.063 5.294
C 0.759 1.176 0.375
C 4.071 4.519 8.672
O 4.516 0.694 0.901
O 0.314 4.037 8.146
O 3.606 4.244 1.067
O 1.225 0.902 7.980
O 1.284 1.895 1.300
O 3.546 5.238 7.747
O 0.956 0.031 3.247
O 3.874 3.374 5.800
O 1.064 4.163 3.005
O 3.767 0.820 6.042
O 3.514 1.993 3.736
O 1.316 5.336 5.311
O 3.147 5.495 3.629
O 1.683 2.152 5.418
```

Entry from the Alexandria database: crystalline Li2CoCSO7 at its relaxed geometry (PBE with a Hubbard U).

Output
The total energy comes out at -152.16 eV for the cell shown. As for the space group: P-1 (2).

```
24
Lattice="-3.496 1.825 3.024 -6.970 -4.186 -3.803 0.832 -4.983 3.971" Properties=species:S:1:pos:R:3 pbc="T T T"
Li -1.563 -2.941 1.990
Li -1.172 -5.284 3.857
Li -8.072 -4.403 1.203
Li -8.463 -2.061 -0.665
Co -5.133 -3.528 -0.757
Co -4.501 -3.817 3.950
C -2.411 -2.722 4.889
C -7.223 -4.622 -1.697
S -5.291 -1.587 1.715
S -4.343 -5.757 1.477
O -1.327 -0.965 1.665
O -8.308 -6.378 1.527
O -3.583 -2.491 5.423
O -6.051 -4.853 -2.231
O -2.414 -3.545 3.857
O -7.220 -3.798 -0.664
O -2.948 -5.329 1.716
O -6.686 -2.016 1.476
O -4.412 -2.244 0.701
O -5.221 -5.100 2.491
O -5.145 -0.106 1.620
O -4.830 -1.948 3.087
O -4.803 -5.396 0.106
O -4.488 -7.239 1.573
```

Entry from the Alexandria database: crystalline Li6Co2C4SO16 at its relaxed geometry (PBE with a Hubbard U).

Output
The total energy comes out at -379.70 eV for the cell shown. As for the space group: Fd-3 (203).

```
58
Lattice="-5.828 5.076 -5.309 -9.069 -2.319 -0.543 -6.481 5.442 4.037" Properties=species:S:1:pos:R:3 pbc="T T T"
Li -7.939 4.652 -3.398
Li -11.605 7.731 -1.114
Li -8.308 4.859 1.890
Li -13.069 3.340 -3.705
Li -7.455 1.626 1.458
Li -4.641 -0.738 -0.295
Li -9.772 0.468 -0.701
Li -13.439 3.547 1.583
Li -3.517 2.633 1.694
Li -7.172 1.467 -2.601
Li -3.233 2.474 -2.365
Li -6.048 4.837 -0.612
Co -8.826 6.284 -0.863
Co -10.120 2.403 -3.153
Co -13.361 5.124 -1.134
Co -10.447 2.586 1.520
C -10.881 5.301 -2.836
C -11.140 5.447 0.876
C -8.566 3.285 -0.727
C -12.168 2.364 -0.943
C -14.554 7.884 -1.326
C -18.155 6.963 -1.541
C -15.582 4.802 -3.145
C -15.841 4.947 0.567
S -5.344 2.050 -0.454
S 0.000 0.000 0.000
O -5.470 2.838 -1.718
O -5.640 2.933 0.716
O -3.953 1.516 -0.336
O -6.314 0.912 -0.477
O -9.643 5.681 -2.727
O -11.827 6.013 -2.303
O -10.629 6.460 0.246
O -11.172 4.217 -3.488
O -8.188 4.387 -0.154
O -8.497 3.168 -2.019
O -12.406 5.182 0.761
O -10.388 4.706 1.632
O -13.007 3.088 -1.620
O -9.002 2.296 -0.008
O -11.296 1.629 -1.564
O -14.513 7.882 -2.623
O -12.208 2.367 0.355
O -15.425 8.620 -0.705
O -17.719 7.953 -2.260
O -13.715 7.161 -0.649
O -16.334 5.543 -3.900
O -14.316 5.067 -3.030
O -18.225 7.080 -0.250
O -18.534 5.861 -2.115
O -15.549 6.032 1.219
O -16.093 3.789 -2.514
O -14.894 4.236 0.035
O -17.078 4.568 0.459
O -8.099 -1.182 -0.520
O -1.391 0.534 -0.118
O -6.185 4.559 2.868
O -5.702 4.288 -4.045
```

Entry from the Alexandria database: crystalline Li4Co2C4SO16 at its relaxed geometry (PBE with a Hubbard U).

Output
The total energy comes out at -354.94 eV for the cell shown. As for the space group: Fddd (70).

```
54
Lattice="9.119 0.047 0.000 -0.086 9.119 0.000 -4.517 -4.583 7.247" Properties=species:S:1:pos:R:3 pbc="T T T"
Li 6.453 -1.843 3.624
Li 6.407 1.898 3.624
Li 6.364 6.457 0.000
Li 6.411 2.716 0.000
Li 2.666 1.890 3.624
Li 2.712 -1.851 3.624
Li 2.670 2.709 0.000
Li 2.623 6.449 0.000
Co -2.323 4.548 5.435
Co 2.237 4.571 5.435
Co -0.064 6.839 1.812
Co -0.021 2.280 1.812
C 7.314 0.003 1.155
C 7.271 4.563 2.469
C 4.620 -2.730 6.092
C 4.500 2.777 6.092
C 0.060 -2.754 4.778
C -0.060 2.754 4.778
C 1.805 0.043 1.155
C 1.763 4.603 2.469
S 4.517 4.583 0.000
S 4.560 0.023 3.624
O -1.212 -0.801 2.039
O 4.504 5.842 0.810
O 6.604 8.598 0.160
O 6.646 4.039 3.463
O -3.985 -2.145 7.087
O 7.314 5.841 2.293
O -1.259 -0.005 6.437
O 4.530 3.324 0.810
O 1.217 2.815 4.954
O 3.985 2.145 7.087
O 7.864 3.805 1.584
O 1.259 0.005 6.437
O 5.300 5.806 5.208
O 3.734 3.359 5.208
O 7.357 1.281 1.330
O -1.217 -2.815 4.954
O -3.342 2.792 5.917
O 1.719 3.325 2.293
O 0.826 -3.336 5.663
O -0.826 3.336 5.663
O 3.300 0.018 4.433
O 1.212 0.801 2.039
O 0.575 -2.122 3.784
O 3.342 -2.792 5.917
O 4.547 1.283 2.814
O 5.819 0.029 4.433
O 1.677 7.884 1.330
O -0.575 2.122 3.784
O 2.430 0.568 0.160
O 2.387 5.127 3.463
O 4.572 -1.236 2.814
O 1.169 5.360 1.584
```

Entry from the Alexandria database: crystalline Li3CoSiCO7 at its relaxed geometry (PBE with a Hubbard U).

Output
The total energy comes out at -169.99 eV for the cell shown. As for the space group: P2_1/m (11).

```
26
Lattice="6.269 0.000 0.000 0.000 5.058 0.033 0.000 0.765 8.405" Properties=species:S:1:pos:R:3 pbc="T T T"
Li 4.701 1.784 7.511
Li 6.159 4.295 6.101
Li 3.244 4.295 6.101
Li 3.025 1.528 2.337
Li 0.110 1.528 2.337
Li 1.567 4.039 0.926
Co 1.567 1.522 5.625
Co 4.701 4.301 2.813
Si 4.701 1.870 4.877
Si 1.567 3.953 3.561
C 1.567 2.306 8.109
C 4.701 3.517 0.328
O 4.701 3.817 7.524
O 1.567 1.038 7.856
O 1.567 3.125 7.091
O 5.956 1.432 5.867
O 3.447 1.432 5.867
O 4.701 3.511 4.660
O 1.567 4.691 5.001
O 4.701 1.132 3.436
O 1.567 2.312 3.778
O 2.821 4.391 2.571
O 0.313 4.391 2.571
O 4.701 2.698 1.347
O 4.701 4.785 0.582
O 1.567 2.006 0.914
```